# 1
Compound: Rb2TbBiTe4
Source: Alexandria
Functional: PBE
Structure: optimized geometry

**Density**: 5.567 Mg/m³
**Formation energy without anion corrections**: -8.003 eV/f.u.
**Volume**: 313.00 Å³/f.u.
**Space group**: P2/m, No. 10
**Total magnetization**: 0.00 μB per cell

Cell: 4.5644 8.0069 8.9512 Å, 106.91 90.00 90.00°
Last column: nearest neighbours and their distance in Å.
Sites, in units of the cell vectors:
Bi 0.0000 0.0000 0.0000  6 Te 3.18-3.19
Rb 0.5000 0.0000 0.5000  6 Te 3.71
Te 0.0000 0.2707 0.8003  2 Tb 3.14, 1 Bi 3.19
Rb 0.0000 0.5000 0.5000  6 Te 3.67
Te 0.5000 0.7612 0.7986  1 Tb 3.13, 2 Bi 3.18
Tb 0.5000 0.5000 0.0000  6 Te 3.13-3.14
Te 0.5000 0.2388 0.2014  1 Tb 3.13, 2 Bi 3.18
Te 0.0000 0.7293 0.1997  2 Tb 3.14, 1 Bi 3.19

---

# 2
Compound: Rb6Os3O14
Source: Alexandria
Functional: PBE
Structure: optimized geometry

**Density**: 4.158 Mg/m³
**Formation energy without anion corrections**: -29.946 eV/f.u.
**Volume**: 522.22 Å³/f.u.
**Space group**: P3, No. 143
**Total magnetization**: 1.86 μB per cell

Cell: 6.0250 10.0042 10.0042 Å, 120.00 90.00 90.00°
Last column: nearest neighbours and their distance in Å.
Sites, in units of the cell vectors:
O 0.4785 0.2161 0.7384  1 Os 1.76
O 0.5235 0.0000 0.0000  1 Os 1.78
Rb 0.8226 0.9802 0.4380  3 O 2.70-2.88
Rb 0.2714 0.2999 0.2182  3 O 2.68-2.84
O 0.9267 0.0550 0.1855  1 Os 1.78
Rb 0.8226 0.5620 0.5422  3 O 2.70-2.88
Os 0.8182 0.0000 0.0000  4 O 1.78
O 0.2552 0.6096 0.4513  1 Os 1.88
Rb 0.2714 0.9184 0.7001  3 O 2.68-2.84
Rb 0.8226 0.4578 0.0198  3 O 2.70-2.88
O 0.9267 0.8145 0.8695  1 Os 1.78
O 0.4785 0.2616 0.4777  1 Os 1.76
Rb 0.2714 0.7818 0.0816  3 O 2.68-2.84
Os 0.3768 0.3333 0.6667  4 O 1.76-1.77
O 0.6145 0.4916 0.2744  1 Os 1.89
O 0.6145 0.7828 0.5084  1 Os 1.89
O 0.9267 0.1305 0.9450  1 Os 1.78
Os 0.4340 0.6667 0.3333  6 O 1.88-1.89
O 0.0838 0.3333 0.6667  1 Os 1.77
O 0.2552 0.5487 0.1583  1 Os 1.88
O 0.6145 0.7256 0.2172  1 Os 1.89
O 0.4785 0.5223 0.7839  1 Os 1.76
O 0.2552 0.8417 0.3904  1 Os 1.88

---

# 3
Compound: HfMoCl2
Source: Alexandria
Functional: PBE
Structure: optimized geometry

**Density**: 8.457 Mg/m³
**Formation energy without anion corrections**: 1.762 eV/f.u.
**Volume**: 67.81 Å³/f.u.
**Space group**: Fm-3m, No. 225
**Total magnetization**: 2.68 μB per cell
**Energy relative to the lowest polymorph listed for this composition**: 0.667 eV/atom

Cell: 4.5772 4.5772 4.5772 Å, 60.00 60.00 60.00°
Last column: nearest neighbours and their distance in Å.
Sites, in units of the cell vectors:
Cl 0.2500 0.2500 0.2500  4 Hf 2.80, 4 Mo 2.80
Hf 0.5000 0.5000 0.5000  8 Cl 2.80
Mo 0.0000 0.0000 0.0000  8 Cl 2.80
Cl 0.7500 0.7500 0.7500  4 Hf 2.80, 4 Mo 2.80

---

# 4
Compound: SrCoNiAs2
Source: Alexandria
Functional: PBE
Structure: optimized geometry

**Density**: 6.366 Mg/m³
**Volume**: 92.62 Å³/f.u.
**Space group**: I-4m2, No. 119
**Total magnetization**: 0.65 μB per cell
**Formation enthalpy at 0 K**: -0.625 eV per atom

Cell: 4.0292 4.0292 6.3770 Å, 108.42 108.42 90.00°
Last column: nearest neighbours and their distance in Å.
Sites, in units of the cell vectors:
As 0.6437 0.6437 0.2874  2 Co 2.35, 2 Ni 2.35
Ni 0.7500 0.2500 0.5000  4 As 2.35
As 0.3563 0.3563 0.7126  2 Co 2.35, 2 Ni 2.35
Sr 0.0000 0.0000 0.0000  8 As 3.29, 4 Co 3.49, 4 Ni 3.49
Co 0.2500 0.7500 0.5000  4 As 2.35

---

# 5
Compound: BaTl9Te6
Source: Alexandria
Functional: PBE
Structure: optimized geometry

**Density**: 8.064 Mg/m³
**Formation energy without anion corrections**: -7.324 eV/f.u.
**Volume**: 564.68 Å³/f.u.
**Space group**: I4/m, No. 87
**Total magnetization**: 0.00 μB per cell

Cell: 9.0970 9.0970 9.3775 Å, 119.02 119.02 90.00°
Last column: nearest neighbours and their distance in Å.
Sites, in units of the cell vectors:
Tl 0.5000 0.5000 0.0000  6 Te 3.33-3.37
Tl 0.2146 0.6769 0.6880  3 Te 3.28-3.46
Tl 0.5267 0.9890 0.3120  3 Te 3.28-3.46
Tl 0.0110 0.2146 0.6880  3 Te 3.28-3.46
Tl 0.4733 0.0110 0.6880  3 Te 3.28-3.46
Te 0.7437 0.7437 0.4874  5 Tl 3.33-3.46, 1 Ba 3.50
Te 0.2563 0.2563 0.5126  5 Tl 3.33-3.46, 1 Ba 3.50
Te 0.3455 0.1631 0.0000  5 Tl 3.28-3.37, 1 Ba 3.48
Ba 0.0000 0.0000 0.0000  6 Te 3.48-3.50
Tl 0.7854 0.3231 0.3120  3 Te 3.28-3.46
Tl 0.9890 0.7854 0.3120  3 Te 3.28-3.46
Te 0.1631 0.6545 0.0000  5 Tl 3.28-3.37, 1 Ba 3.48
Tl 0.6769 0.4733 0.6880  3 Te 3.28-3.46
Te 0.6545 0.8369 0.0000  5 Tl 3.28-3.37, 1 Ba 3.48
Tl 0.3231 0.5267 0.3120  3 Te 3.28-3.46
Te 0.8369 0.3455 0.0000  5 Tl 3.28-3.37, 1 Ba 3.48

---

# 6
Compound: ScCu
Source: Alexandria
Functional: PBE
Structure: optimized geometry

**Density**: 4.781 Mg/m³
**Volume**: 37.68 Å³/f.u.
**Space group**: P4_2/mnm, No. 136
**Total magnetization**: 0.00 μB per cell
**Formation enthalpy at 0 K**: -0.026 eV per atom

Cell: 5.3247 5.3247 5.3165 Å, 90.00 90.00 90.00°
Last column: nearest neighbours and their distance in Å.
Sites, in units of the cell vectors:
Cu 0.3189 0.3189 0.0000  6 Sc 2.63-2.84, 1 Cu 2.73
Cu 0.1811 0.8189 0.5000  6 Sc 2.63-2.84, 1 Cu 2.73
Sc 0.7981 0.2019 0.0000  6 Cu 2.63-2.84
Cu 0.8189 0.1811 0.5000  6 Sc 2.63-2.84, 1 Cu 2.73
Sc 0.7019 0.7019 0.5000  6 Cu 2.63-2.84
Sc 0.2019 0.7981 0.0000  6 Cu 2.63-2.84
Cu 0.6811 0.6811 0.0000  6 Sc 2.63-2.84, 1 Cu 2.73
Sc 0.2981 0.2981 0.5000  6 Cu 2.63-2.84

---

# 7
Compound: ZrNb2C2
Source: Alexandria
Functional: PBE
Structure: optimized geometry

**Density**: 6.968 Mg/m³
**Volume**: 71.75 Å³/f.u.
**Space group**: Immm, No. 71
**Total magnetization**: 0.00 μB per cell
**Formation enthalpy at 0 K**: -0.612 eV per atom

Cell: 3.2599 4.3951 5.7063 Å, 112.65 106.60 90.00°
Last column: nearest neighbours and their distance in Å.
Sites, in units of the cell vectors:
Zr 0.0000 0.0000 0.0000  4 C 2.34
C 0.6675 0.1675 0.3351  4 Nb 2.19-2.21, 2 Zr 2.34
C 0.3325 0.8325 0.6649  4 Nb 2.19-2.21, 2 Zr 2.34
Nb 0.6860 0.6860 0.3720  4 C 2.19-2.21
Nb 0.3140 0.3140 0.6280  4 C 2.19-2.21

---

# 8
Compound: Pm5Mg6Sc
Source: Alexandria
Functional: PBE
Structure: optimized geometry

**Density**: 4.541 Mg/m³
**Volume**: 334.90 Å³/f.u.
**Space group**: C2/m, No. 12
**Total magnetization**: 0.00 μB per cell
**Formation enthalpy at 0 K**: -0.087 eV per atom

Cell: 5.3806 7.6991 9.3467 Å, 114.33 106.66 89.99°
Last column: nearest neighbours and their distance in Å.
Sites, in units of the cell vectors:
Pm 0.6666 0.6668 0.3335  8 Mg 3.34-3.38
Mg 0.1611 0.4039 0.3230  1 Sc 3.21, 7 Pm 3.27-3.40
Pm 0.3334 0.3332 0.6665  8 Mg 3.34-3.38
Mg 0.1610 0.9194 0.3230  1 Sc 3.21, 7 Pm 3.27-3.40
Mg 0.8389 0.5961 0.6770  1 Sc 3.21, 7 Pm 3.27-3.40
Sc 0.0000 0.0000 0.0000  8 Mg 3.21-3.24
Pm 0.6680 0.1681 0.3361  8 Mg 3.26-3.40
Mg 0.5001 0.2349 0.0000  2 Sc 3.24, 6 Pm 3.26-3.38, 1 Mg 3.62
Mg 0.8390 0.0806 0.6770  1 Sc 3.21, 7 Pm 3.27-3.40
Mg 0.4999 0.7651 0.0000  2 Sc 3.24, 6 Pm 3.26-3.38, 1 Mg 3.62
Pm 0.0000 0.5000 0.0000  8 Mg 3.28-3.38
Pm 0.3320 0.8319 0.6639  8 Mg 3.26-3.40

---

# 9
Compound: Tm5U3Se12
Source: Alexandria
Functional: PBE
Structure: optimized geometry

**Density**: 7.024 Mg/m³
**Formation energy without anion corrections**: -27.435 eV/f.u.
**Volume**: 592.50 Å³/f.u.
**Space group**: Ia-3d, No. 230
**Total magnetization**: 36.02 μB per cell

Cell: 14.5476 14.5476 14.5476 Å, 109.47 109.47 109.47°
Last column: nearest neighbours and their distance in Å.
Sites, in units of the cell vectors:
Se 0.5463 0.3254 0.9170  2 Tm 2.65-2.83
U 0.1250 0.2500 0.8750  8 Se 3.10-3.20
Se 0.9170 0.0917 0.8707  2 Tm 2.65-2.83
Tm 0.0000 0.5000 0.0000  6 Se 2.83
Tm 0.2500 0.8750 0.1250  4 Se 2.65
Se 0.6293 0.5830 0.9083  2 Tm 2.65-2.83
U 0.3750 0.7500 0.6250  8 Se 3.10-3.20
Se 0.7790 0.4537 0.3707  2 Tm 2.65-2.83
Se 0.0830 0.1746 0.4537  2 Tm 2.65-2.83
Se 0.9170 0.8254 0.5463  2 Tm 2.65-2.83
Se 0.4537 0.7790 0.8707  2 Tm 2.65-2.83
U 0.8750 0.7500 0.1250  8 Se 3.10-3.20
Se 0.0917 0.1746 0.2210  2 Tm 2.65-2.83
U 0.7500 0.3750 0.1250  8 Se 3.10-3.20
Tm 0.7500 0.6250 0.3750  4 Se 2.65
Se 0.3707 0.9537 0.7790  2 Tm 2.65-2.83
Se 0.5917 0.7210 0.6746  2 Tm 2.65-2.83
Se 0.5830 0.9537 0.6746  2 Tm 2.65-2.83
Tm 0.6250 0.7500 0.8750  4 Se 2.65
Tm 0.6250 0.8750 0.2500  4 Se 2.65
Tm 0.8750 0.2500 0.6250  4 Se 2.65
Se 0.5463 0.2210 0.1293  2 Tm 2.65-2.83
Se 0.1293 0.4083 0.0830  2 Tm 2.65-2.83
U 0.6250 0.2500 0.3750  8 Se 3.10-3.20
Tm 0.8750 0.6250 0.7500  4 Se 2.65
Se 0.4170 0.0463 0.3254  2 Tm 2.65-2.83
Se 0.7210 0.1293 0.0463  2 Tm 2.65-2.83
U 0.6250 0.3750 0.7500  8 Se 3.10-3.20
Se 0.2210 0.6746 0.0917  2 Tm 2.65-2.83
Tm 0.2500 0.3750 0.6250  4 Se 2.65
Tm 0.5000 0.5000 0.0000  6 Se 2.83
Se 0.1746 0.0917 0.7210  2 Tm 2.65-2.83
Se 0.1746 0.0830 0.9537  2 Tm 2.65-2.83
Se 0.5830 0.6293 0.4083  2 Tm 2.65-2.83
Se 0.8254 0.9170 0.0463  2 Tm 2.65-2.83
Se 0.4083 0.1293 0.5830  2 Tm 2.65-2.83
Se 0.5917 0.8707 0.4170  2 Tm 2.65-2.83
Tm 0.3750 0.2500 0.1250  4 Se 2.65
Se 0.3707 0.4170 0.0917  2 Tm 2.65-2.83
Se 0.0463 0.6293 0.7210  2 Tm 2.65-2.83
Se 0.6293 0.0463 0.2210  2 Tm 2.65-2.83
U 0.7500 0.8750 0.6250  8 Se 3.10-3.20
Tm 0.0000 0.5000 0.5000  6 Se 2.83
Tm 0.1250 0.3750 0.2500  4 Se 2.65
Se 0.4170 0.3707 0.5917  2 Tm 2.65-2.83
Se 0.9537 0.3707 0.2790  2 Tm 2.65-2.83
Se 0.0917 0.9170 0.3707  2 Tm 2.65-2.83
Se 0.7210 0.5917 0.1746  2 Tm 2.65-2.83
U 0.1250 0.8750 0.7500  8 Se 3.10-3.20
Se 0.2790 0.8707 0.9537  2 Tm 2.65-2.83
Se 0.3254 0.7790 0.4083  2 Tm 2.65-2.83
Se 0.4083 0.2790 0.3254  2 Tm 2.65-2.83
Se 0.7790 0.3254 0.9083  2 Tm 2.65-2.83
Se 0.6746 0.4537 0.5830  2 Tm 2.65-2.83
Tm 0.5000 0.0000 0.0000  6 Se 2.83
Se 0.8254 0.9083 0.2790  2 Tm 2.65-2.83
Tm 0.5000 0.5000 0.5000  6 Se 2.83
Tm 0.1250 0.7500 0.3750  4 Se 2.65
Tm 0.3750 0.1250 0.7500  4 Se 2.65
Se 0.9083 0.0830 0.6293  2 Tm 2.65-2.83
Se 0.2210 0.5463 0.6293  2 Tm 2.65-2.83
Se 0.3254 0.5463 0.4170  2 Tm 2.65-2.83
Se 0.9083 0.8254 0.7790  2 Tm 2.65-2.83
Se 0.0830 0.9083 0.1293  2 Tm 2.65-2.83
Tm 0.5000 0.0000 0.5000  6 Se 2.83
Se 0.6746 0.2210 0.5917  2 Tm 2.65-2.83
Se 0.4537 0.6746 0.0830  2 Tm 2.65-2.83
Se 0.2790 0.4083 0.8254  2 Tm 2.65-2.83
Se 0.1293 0.7210 0.5463  2 Tm 2.65-2.83
Se 0.8707 0.2790 0.4537  2 Tm 2.65-2.83
U 0.3750 0.6250 0.2500  8 Se 3.10-3.20
Tm 0.7500 0.1250 0.8750  4 Se 2.65
U 0.8750 0.1250 0.2500  8 Se 3.10-3.20
Tm 0.0000 0.0000 0.0000  6 Se 2.83
U 0.2500 0.6250 0.8750  8 Se 3.10-3.20
Se 0.9537 0.5830 0.1746  2 Tm 2.65-2.83
Tm 0.0000 0.0000 0.5000  6 Se 2.83
Se 0.8707 0.5917 0.9170  2 Tm 2.65-2.83
Se 0.0463 0.4170 0.8254  2 Tm 2.65-2.83
U 0.2500 0.1250 0.3750  8 Se 3.10-3.20